Record 1
Fe3AuCl: optimized geometry, PBE.

total DFT energy (no corrections): -27.4 eV per formula unit
formation energy (no corrections): 0.6281 eV per atom
density of states at the Fermi level: 2.3 states/eV/f.u.

Lattice parameters (Å, degrees): 4.155 4.155 4.155 90.00 90.00 90.00
Fractional positions:
Au: 0.500 0.500 0.500
Fe: 0.000 0.500 0.000
Fe: 0.000 0.000 0.500
Fe: 0.500 0.000 0.000
Cl: 0.000 0.000 0.000

Record 2
CuRhBr2: optimized geometry, PBE.

total DFT energy (no corrections): -11.4 eV per formula unit
formation energy (no corrections): 0.8605 eV per atom
density of states at the Fermi level: 6.0 states/eV/f.u.

Lattice parameters (Å, degrees): 4.806 4.806 4.806 60.00 60.00 60.00
Fractional positions:
Br: 0.000 0.000 0.000
Br: 0.750 0.750 0.750
Cu: 0.500 0.500 0.500
Rh: 0.250 0.250 0.250

Record 3
PrYMo: optimized geometry, PBE.

total DFT energy (no corrections): -21.7 eV per formula unit
formation enthalpy at 0 K: 136 meV/atom
density of states at the Fermi level: 3.7 states/eV/f.u.

Lattice parameters (Å, degrees): 3.365 3.365 14.165 90.00 90.00 90.00
Fractional positions:
Pr: 0.000 0.500 0.602
Pr: 0.500 0.000 0.398
Y: 0.500 0.000 0.814
Y: 0.000 0.500 0.186
Mo: 0.000 0.500 0.954
Mo: 0.500 0.000 0.046

Record 4
Li2YMn: optimized geometry, PBE.

total DFT energy (no corrections): -18.6 eV per formula unit
formation enthalpy at 0 K: 204 meV/atom
density of states at the Fermi level: 2.8 states/eV/f.u.

Lattice parameters (Å, degrees): 3.420 3.420 7.144 90.00 90.00 90.00
Fractional positions:
Li: 0.000 0.000 0.051
Li: 0.500 0.500 0.263
Mn: 0.000 0.000 0.468
Y: 0.500 0.500 0.719

Record 5
TbLuGaAg: optimized geometry, PBE.

total DFT energy (no corrections): -16.9 eV per formula unit
formation enthalpy at 0 K: -462 meV/atom
density of states at the Fermi level: 2.5 states/eV/f.u.

Lattice parameters (Å, degrees): 5.070 5.070 5.070 60.00 60.00 60.00
Fractional positions:
Lu: 0.500 0.500 0.500
Tb: 0.000 0.000 0.000
Ga: 0.750 0.750 0.750
Ag: 0.250 0.250 0.250

Record 6
K3SmF6: optimized geometry, PBE.

total DFT energy (no corrections): -52.4 eV per formula unit
formation energy (no corrections): -3.3159 eV per atom
density of states at the Fermi level: 0.0 states/eV/f.u.

Lattice parameters (Å, degrees): 6.463 6.699 9.231 90.00 88.73 90.00
Fractional positions:
K: 0.521 0.947 0.758
K: 0.500 0.500 0.000
K: 0.479 0.053 0.242
K: 0.021 0.553 0.258
K: 0.000 0.000 0.500
K: 0.979 0.447 0.742
Sm: 0.500 0.500 0.500
Sm: 0.000 0.000 0.000
F: 0.720 0.182 0.946
F: 0.675 0.230 0.581
F: 0.627 0.432 0.275
F: 0.373 0.568 0.725
F: 0.325 0.770 0.419
F: 0.280 0.818 0.054
F: 0.220 0.318 0.446
F: 0.175 0.270 0.081
F: 0.127 0.068 0.775
F: 0.873 0.932 0.225
F: 0.825 0.730 0.919
F: 0.780 0.682 0.554

Record 7
Pm4Sm7Th: optimized geometry, PBE.

total DFT energy (no corrections): -59.2 eV per formula unit
formation enthalpy at 0 K: 21 meV/atom
density of states at the Fermi level: 18.1 states/eV/f.u.

Lattice parameters (Å, degrees): 7.314 9.673 9.070 81.14 90.01 40.92
Fractional positions:
Pm: 0.523 0.724 0.329
Pm: 0.477 0.276 0.671
Pm: 0.722 0.778 0.664
Pm: 0.278 0.222 0.336
Sm: 0.745 0.500 0.000
Sm: 0.255 0.500 0.000
Sm: 0.970 0.276 0.671
Sm: 0.030 0.724 0.329
Sm: 0.217 0.783 0.673
Sm: 0.500 0.000 0.000
Sm: 0.783 0.217 0.327
Th: 0.000 0.000 0.000

Record 8
Pr4Y2Ge3O2: optimized geometry, PBE.

total DFT energy (no corrections): -71.8 eV per formula unit
formation energy (no corrections): -1.4541 eV per atom
density of states at the Fermi level: 5.5 states/eV/f.u.

Lattice parameters (Å, degrees): 4.744 4.744 12.578 100.87 100.87 90.00
Fractional positions:
Pr: 0.418 0.918 0.836
Pr: 0.918 0.418 0.836
Pr: 0.082 0.582 0.164
Pr: 0.582 0.082 0.164
Y: 0.299 0.299 0.599
Y: 0.701 0.701 0.401
Ge: 0.000 0.000 0.000
Ge: 0.178 0.178 0.356
Ge: 0.822 0.822 0.644
O: 0.392 0.392 0.784
O: 0.608 0.608 0.216

Record 9
Nd5Ge3H: optimized geometry, PBE.

total DFT energy (no corrections): -47.6 eV per formula unit
density of states at the Fermi level: 7.7 states/eV/f.u.

Lattice parameters (Å, degrees): 7.969 7.969 8.935 116.48 116.48 90.00
Fractional positions:
Nd: 0.500 0.500 0.000
Nd: 0.000 0.000 0.000
Nd: 0.184 0.021 0.705
Nd: 0.521 0.684 0.705
Nd: 0.684 0.184 0.705
Nd: 0.021 0.521 0.705
Nd: 0.816 0.979 0.295
Nd: 0.479 0.316 0.295
Nd: 0.316 0.816 0.295
Nd: 0.979 0.479 0.295
Ge: 0.250 0.250 0.500
Ge: 0.750 0.750 0.500
Ge: 0.126 0.374 0.000
Ge: 0.874 0.626 0.000
Ge: 0.626 0.126 0.000
Ge: 0.374 0.874 0.000
H: 0.250 0.750 0.500
H: 0.750 0.250 0.500

Record 10
Pr8CdAu2: optimized geometry, PBE.

total DFT energy (no corrections): -49.1 eV per formula unit
formation enthalpy at 0 K: -312 meV/atom
density of states at the Fermi level: 11.4 states/eV/f.u.

Lattice parameters (Å, degrees): 5.303 7.300 9.860 107.39 105.60 90.00
Fractional positions:
Pr: 0.409 0.527 0.817
Pr: 0.672 0.986 0.344
Pr: 0.804 0.666 0.609
Pr: 0.974 0.235 0.949
Pr: 0.196 0.334 0.391
Pr: 0.328 0.014 0.656
Pr: 0.591 0.473 0.183
Pr: 0.026 0.765 0.051
Cd: 0.500 0.000 0.000
Au: 0.822 0.270 0.644
Au: 0.178 0.730 0.356

Record 11
Sc2TaPtN: optimized geometry, PBE.

total DFT energy (no corrections): -44.2 eV per formula unit
formation energy (no corrections): -1.0679 eV per atom
density of states at the Fermi level: 3.0 states/eV/f.u.

Lattice parameters (Å, degrees): 4.325 4.325 4.245 90.00 90.00 90.00
Fractional positions:
Sc: 0.000 0.500 0.000
Sc: 0.500 0.000 0.000
N: 0.000 0.000 0.000
Pt: 0.500 0.500 0.500
Ta: 0.000 0.000 0.500

Record 12
Ti2HgI4: optimized geometry, PBE.

total DFT energy (no corrections): -26.3 eV per formula unit
formation energy (no corrections): -0.5777 eV per atom
density of states at the Fermi level: 2.4 states/eV/f.u.

Lattice parameters (Å, degrees): 3.727 6.655 10.678 91.80 100.05 90.00
Fractional positions:
Ti: 0.248 0.183 0.496
Ti: 0.752 0.817 0.504
Hg: 0.500 0.500 0.000
I: 0.653 0.078 0.305
I: 0.347 0.922 0.695
I: 0.178 0.581 0.356
I: 0.822 0.419 0.644

Q: Number 4 is which compound?
A: Li2YMn

Q: Which formula does entry 4 have?
A: Li2YMn